[1]
Here is a relaxed structure of AcPrIO6 from the Alexandria database. Energies are from GGA-PBE.

Output
- raw formation energy (eV per atom) = -1.924
- Fermi-level density of states (states/eV/cell) = 7.25
- M_tot (μB/atom) = 0.00

CIF file:
```
data_AcPrIO6
_chemical_formula_sum 'Ac2 Pr2 I2 O12'
_symmetry_space_group_name_H-M 'P -3 1 c'
_symmetry_Int_Tables_number 163
_symmetry_space_group_name_Hall '-P 3 2c'
_cell_length_a 6.0024
_cell_length_b 6.0024
_cell_length_c 9.5105
_cell_angle_alpha 90.00
_cell_angle_beta 90.00
_cell_angle_gamma 120.00
loop_
_atom_site_label
_atom_site_type_symbol
_atom_site_fract_x
_atom_site_fract_y
_atom_site_fract_z
Ac1 Ac 0.3333 0.6667 0.2500
Pr1 Pr 0.0000 0.0000 0.0000
I1 I 0.3333 0.6667 0.7500
O1 O 0.0617 0.3761 0.6322
```



[2]
Here is a relaxed structure of TmZn13 from the Alexandria database. Energies are from GGA-PBE.

Output
- Fermi-level density of states (states/eV/cell) = 42.13
- M_tot (μB/atom) = 0.00
- DFT formation energy (eV/f.u.) = -1.38

CIF file:
```
data_TmZn13
_chemical_formula_sum 'Tm8 Zn104'
_symmetry_space_group_name_H-M 'F m -3 c'
_symmetry_Int_Tables_number 226
_symmetry_space_group_name_Hall '-F 4a 2 3'
_cell_length_a 12.116
_cell_length_b 12.116
_cell_length_c 12.116
_cell_angle_alpha 90.00
_cell_angle_beta 90.00
_cell_angle_gamma 90.00
loop_
_atom_site_label
_atom_site_type_symbol
_atom_site_fract_x
_atom_site_fract_y
_atom_site_fract_z
Tm1 Tm 0.250 0.250 0.250
Zn1 Zn 0.000 0.000 0.000
Zn2 Zn 0.000 0.121 0.180
```



[3]
Here is a relaxed structure of Zr4H2N3 from the Alexandria database. Energies are from GGA-PBE.

Output
- calculated total energy (eV/atom) = -8.4954
- Fermi-level density of states (states/eV/cell) = 5.49
- M_tot (μB/atom) = 0.00

CIF file:
```
data_Zr4H2N3
_chemical_formula_sum 'Zr8 H4 N6'
_symmetry_space_group_name_H-M 'C 1 2/m 1'
_symmetry_Int_Tables_number 12
_cell_length_a 10.940
_cell_length_b 3.205
_cell_length_c 8.190
_cell_angle_alpha 90.00
_cell_angle_beta 127.11
_cell_angle_gamma 90.00
loop_
_symmetry_equiv_pos_as_xyz
'x,y,z'
'-x,-y,-z'
'-x,y,-z'
'x,-y,z'
'x+1/2,y+1/2,z'
'-x+1/2,-y+1/2,-z'
'-x+1/2,y+1/2,-z'
'x+1/2,-y+1/2,z'
loop_
_atom_site_label
_atom_site_type_symbol
_atom_site_fract_x
_atom_site_fract_y
_atom_site_fract_z
Zr1 Zr 0.092 0.000 0.389
Zr2 Zr 0.232 0.500 0.802
H1 H 0.148 0.000 0.879
N1 N 0.000 0.500 0.500
N2 N 0.179 0.500 0.292
```



[4]
Here is a relaxed structure of CsSn2Pd from the Alexandria database. Energies are from GGA-PBE.

Output
- Fermi-level density of states (states/eV/cell) = 8.49
- M_tot (μB/atom) = 0.00
- DFT formation energy (eV/f.u.) = -1.49

CIF file:
```
data_CsSn2Pd
_chemical_formula_sum 'Cs3 Sn6 Pd3'
_symmetry_space_group_name_H-M 'R 3 m'
_symmetry_Int_Tables_number 160
_symmetry_space_group_name_Hall 'R 3 -2"'
_cell_length_a 4.5363
_cell_length_b 4.5363
_cell_length_c 22.8134
_cell_angle_alpha 90.00
_cell_angle_beta 90.00
_cell_angle_gamma 120.00
loop_
_atom_site_label
_atom_site_type_symbol
_atom_site_fract_x
_atom_site_fract_y
_atom_site_fract_z
Cs1 Cs 0.0000 0.0000 0.0000
Sn1 Sn 0.0000 0.0000 0.2054
Sn2 Sn 0.0000 0.0000 0.4580
Pd1 Pd 0.0000 0.0000 0.8288
```



[5]
Here is a relaxed structure of CsBiI2N from the Alexandria database. Energies are from GGA-PBE.

Output
- raw formation energy (eV per atom) = 1.202
- Fermi-level density of states (states/eV/cell) = 8.37
- M_tot (μB/atom) = 0.00
- offset from the most stable computed form (meV per atom) = 1267

CIF file:
```
data_CsBiI2N
_chemical_formula_sum 'Cs1 Bi1 I2 N1'
_symmetry_space_group_name_H-M 'P 4/m m m'
_symmetry_Int_Tables_number 123
_symmetry_space_group_name_Hall '-P 4 2'
_cell_length_a 6.850
_cell_length_b 6.850
_cell_length_c 4.259
_cell_angle_alpha 90.00
_cell_angle_beta 90.00
_cell_angle_gamma 90.00
loop_
_atom_site_label
_atom_site_type_symbol
_atom_site_fract_x
_atom_site_fract_y
_atom_site_fract_z
Cs1 Cs 0.000 0.000 0.000
Bi1 Bi 0.500 0.500 0.500
I1 I 0.000 0.500 0.000
N1 N 0.000 0.000 0.500
```



[6]
Here is a relaxed structure of MgBe2Mo from the Alexandria database. Energies are from GGA-PBE.

Output
- Fermi-level density of states (states/eV/cell) = 6.05
- M_tot (μB/atom) = 0.00
- DFT formation energy (eV/f.u.) = 1.71

CIF file:
```
data_MgBe2Mo
_chemical_formula_sum 'Mg3 Be6 Mo3'
_symmetry_space_group_name_H-M 'R -3 m'
_symmetry_Int_Tables_number 166
_symmetry_space_group_name_Hall '-R 3 2"'
_cell_length_a 2.7681
_cell_length_b 2.7681
_cell_length_c 25.4106
_cell_angle_alpha 90.00
_cell_angle_beta 90.00
_cell_angle_gamma 120.00
loop_
_atom_site_label
_atom_site_type_symbol
_atom_site_fract_x
_atom_site_fract_y
_atom_site_fract_z
Mg1 Mg 0.0000 0.0000 0.0000
Be1 Be 0.0000 0.0000 0.2448
Mo1 Mo 0.0000 0.0000 0.5000
```



[7]
Here is a relaxed structure of RbCd4In2Hg from the Alexandria database. Energies are from GGA-PBE.

Output
- Fermi-level density of states (states/eV/cell) = 7.83
- M_tot (μB/atom) = 0.00
- DFT formation energy (eV/f.u.) = -0.10

CIF file:
```
data_RbCd4In2Hg
_chemical_formula_sum 'Rb3 Cd12 In6 Hg3'
_symmetry_space_group_name_H-M 'R -3 m'
_symmetry_Int_Tables_number 166
_symmetry_space_group_name_Hall '-R 3 2"'
_cell_length_a 5.0328
_cell_length_b 5.0328
_cell_length_c 33.0993
_cell_angle_alpha 90.00
_cell_angle_beta 90.00
_cell_angle_gamma 120.00
loop_
_atom_site_label
_atom_site_type_symbol
_atom_site_fract_x
_atom_site_fract_y
_atom_site_fract_z
Rb1 Rb 0.0000 0.0000 0.0000
Cd1 Cd 0.0000 0.0000 0.1349
Cd2 Cd 0.0000 0.0000 0.4068
In1 In 0.0000 0.0000 0.2407
Hg1 Hg 0.0000 0.0000 0.5000
```



[8]
Here is a relaxed structure of Dy6AlRu2 from the Alexandria database. Energies are from GGA-PBE.

Output
- Fermi-level density of states (states/eV/cell) = 32.46
- M_tot (μB/atom) = 0.00
- DFT formation energy (eV/f.u.) = -3.19

CIF file:
```
data_Dy6AlRu2
_chemical_formula_sum 'Dy24 Al4 Ru8'
_symmetry_space_group_name_H-M 'I m m m'
_symmetry_Int_Tables_number 71
_symmetry_space_group_name_Hall '-I 2 2'
_cell_length_a 9.316
_cell_length_b 9.351
_cell_length_c 10.440
_cell_angle_alpha 90.00
_cell_angle_beta 90.00
_cell_angle_gamma 90.00
loop_
_atom_site_label
_atom_site_type_symbol
_atom_site_fract_x
_atom_site_fract_y
_atom_site_fract_z
Dy1 Dy 0.000 0.198 0.242
Dy2 Dy 0.188 0.500 0.170
Dy3 Dy 0.215 0.319 0.500
Al1 Al 0.000 0.000 0.000
Al2 Al 0.000 0.000 0.500
Ru1 Ru 0.000 0.314 0.000
Ru2 Ru 0.000 0.500 0.371
```



[9]
Here is a relaxed structure of Rb4Cd2F from the Alexandria database. Energies are from GGA-PBE.

Output
- raw formation energy (eV per atom) = -0.634
- Fermi-level density of states (states/eV/cell) = 8.95
- M_tot (μB/atom) = 0.00

CIF file:
```
data_Rb4Cd2F
_chemical_formula_sum 'Rb8 Cd4 F2'
_symmetry_space_group_name_H-M 'I 4/m m m'
_symmetry_Int_Tables_number 139
_symmetry_space_group_name_Hall '-I 4 2'
_cell_length_a 5.525
_cell_length_b 5.525
_cell_length_c 22.423
_cell_angle_alpha 90.00
_cell_angle_beta 90.00
_cell_angle_gamma 90.00
loop_
_atom_site_label
_atom_site_type_symbol
_atom_site_fract_x
_atom_site_fract_y
_atom_site_fract_z
Rb1 Rb 0.000 0.000 0.185
Rb2 Rb 0.000 0.500 0.000
Cd1 Cd 0.000 0.000 0.357
F1 F 0.000 0.000 0.500
```



[10]
Here is a relaxed structure of P2WSe from the Alexandria database. Energies are from GGA-PBE.

Output
- raw formation energy (eV per atom) = 0.272
- Fermi-level density of states (states/eV/cell) = 5.99
- M_tot (μB/atom) = 0.00

CIF file:
```
data_P2WSe
_chemical_formula_sum 'P4 W2 Se2'
_symmetry_space_group_name_H-M 'C 1 2/m 1'
_symmetry_Int_Tables_number 12
_cell_length_a 8.247
_cell_length_b 3.232
_cell_length_c 5.162
_cell_angle_alpha 90.00
_cell_angle_beta 92.97
_cell_angle_gamma 90.00
loop_
_symmetry_equiv_pos_as_xyz
'x,y,z'
'-x,-y,-z'
'-x,y,-z'
'x,-y,z'
'x+1/2,y+1/2,z'
'-x+1/2,-y+1/2,-z'
'-x+1/2,y+1/2,-z'
'x+1/2,-y+1/2,z'
loop_
_atom_site_label
_atom_site_type_symbol
_atom_site_fract_x
_atom_site_fract_y
_atom_site_fract_z
P1 P 0.213 0.000 0.171
W1 W 0.000 0.500 0.000
Se1 Se 0.000 0.000 0.500
```



[11]
Here is a relaxed structure of KInAs2 from the Alexandria database. Energies are from GGA-PBE.

Output
- Fermi-level density of states (states/eV/cell) = 1.52
- M_tot (μB/atom) = 0.00
- DFT formation energy (eV/f.u.) = -0.53

CIF file:
```
data_KInAs2
_chemical_formula_sum 'K1 In1 As2'
_symmetry_space_group_name_H-M 'P 4/m m m'
_symmetry_Int_Tables_number 123
_symmetry_space_group_name_Hall '-P 4 2'
_cell_length_a 4.007
_cell_length_b 4.007
_cell_length_c 6.958
_cell_angle_alpha 90.00
_cell_angle_beta 90.00
_cell_angle_gamma 90.00
loop_
_atom_site_label
_atom_site_type_symbol
_atom_site_fract_x
_atom_site_fract_y
_atom_site_fract_z
K1 K 0.000 0.000 0.000
In1 In 0.000 0.000 0.500
As1 As 0.500 0.500 0.326
```



[12]
Here is a relaxed structure of LiAc12Pr3 from the Alexandria database. Energies are from GGA-PBE.

Output
- Fermi-level density of states (states/eV/cell) = 23.49
- M_tot (μB/atom) = 0.00
- DFT formation energy (eV/f.u.) = 0.71

CIF file:
```
data_LiAc12Pr3
_chemical_formula_sum 'Li1 Ac12 Pr3'
_symmetry_space_group_name_H-M 'P 4/m m m'
_symmetry_Int_Tables_number 123
_symmetry_space_group_name_Hall '-P 4 2'
_cell_length_a 5.533
_cell_length_b 5.533
_cell_length_c 22.053
_cell_angle_alpha 90.00
_cell_angle_beta 90.00
_cell_angle_gamma 90.00
loop_
_atom_site_label
_atom_site_type_symbol
_atom_site_fract_x
_atom_site_fract_y
_atom_site_fract_z
Li1 Li 0.000 0.000 0.000
Ac1 Ac 0.000 0.500 0.124
Ac2 Ac 0.000 0.500 0.374
Ac3 Ac 0.500 0.500 0.000
Ac4 Ac 0.500 0.500 0.247
Ac5 Ac 0.500 0.500 0.500
Pr1 Pr 0.000 0.000 0.246
Pr2 Pr 0.000 0.000 0.500
```